ZrBeRh2 | Alexandria via LeMat-Bulk | GGA-PBE | optimized geometry; calculated density = 8.7 Mg/m³; density of states at the Fermi level = 0.3165 states/eV per atom; total moment = 0.0 Bohr magnetons per cell; total energy = -29.6 eV for the cell shown
1.0
-3.041 -0.585 -0.292
0.405 -0.554 -3.102
1.396 -6.288 -1.945
Zr Rh Be
1 2 1
Cartesian
-1.070 -2.003 -1.408
0.927 -3.576 -2.492
1.369 -6.134 -1.976
-0.170 -5.424 -3.931